Entry 1:
An optimized crystal structure of U3P. Source: Alexandria via LeMat-Bulk, functional PBE.

Cell lengths 3.222, 4.707, 5.056 Å; angles 90.00, 90.00, 90.00 degrees
Fractional coordinates of all 4 atoms:
1 U 0.000 0.000 0.000
2 U 0.000 0.500 0.398
3 U 0.500 0.500 0.849
4 P 0.500 0.000 0.521

Calculated volume: 77 Å³/cell
Calculated total energy: -10.0763 eV per atom
Total moment: 0.8 μB per cell

---

Entry 2:
An optimized crystal structure of Pr4HoMg. Source: Alexandria via LeMat-Bulk, functional PBE.

Cell lengths 8.727, 8.727, 6.411 Å; angles 100.23, 100.23, 118.04 degrees
Fractional coordinates of all 12 atoms:
1 Pr 0.099 0.710 0.955
2 Pr 0.173 0.411 0.625
3 Pr 0.290 0.901 0.545
4 Pr 0.411 0.173 0.125
5 Pr 0.589 0.827 0.875
6 Pr 0.710 0.099 0.455
7 Pr 0.827 0.589 0.375
8 Pr 0.901 0.290 0.045
9 Ho 0.415 0.585 0.250
10 Ho 0.585 0.415 0.750
11 Mg 0.001 0.999 0.250
12 Mg 0.999 0.001 0.750

Calculated volume: 404 Å³/cell
Calculated total energy: -4.1408 eV per atom
Total moment: 0.0 μB per cell

---

Entry 3:
An optimized crystal structure of Na2DyNp3Se6. Source: Alexandria via LeMat-Bulk, functional PBE.

Cell lengths 7.176, 7.176, 7.214 Å; angles 99.50, 99.50, 119.94 degrees
Fractional coordinates of all 12 atoms:
1 Na 0.166 0.834 0.000
2 Na 0.834 0.166 0.000
3 Dy 0.500 0.500 0.000
4 Np 0.000 0.000 0.500
5 Np 0.330 0.670 0.500
6 Np 0.670 0.330 0.500
7 Se 0.090 0.416 0.749
8 Se 0.260 0.260 0.255
9 Se 0.416 0.090 0.749
10 Se 0.584 0.910 0.251
11 Se 0.740 0.740 0.745
12 Se 0.910 0.584 0.251

Calculated volume: 304 Å³/cell
Calculated total energy: -6.8642 eV per atom
Formation energy (no corrections): -1.28 eV/atom
Total moment: 13.8 μB per cell

---

Entry 4:
An optimized crystal structure of Sm6Dy3Tm2. Source: Alexandria via LeMat-Bulk, functional PBE.

Cell lengths 32.076, 32.076, 32.076 Å; angles 6.40, 6.40, 6.40 degrees
Fractional coordinates of all 11 atoms:
1 Sm 0.091 0.091 0.091
2 Sm 0.182 0.182 0.182
3 Sm 0.364 0.364 0.364
4 Sm 0.636 0.636 0.636
5 Sm 0.818 0.818 0.818
6 Sm 0.909 0.909 0.909
7 Dy 0.000 0.000 0.000
8 Dy 0.273 0.273 0.273
9 Dy 0.727 0.727 0.727
10 Tm 0.454 0.454 0.454
11 Tm 0.546 0.546 0.546

Calculated volume: 355 Å³/cell
Calculated total energy: -4.6257 eV per atom
Total moment: 0.0 μB per cell

---

Entry 5:
An optimized crystal structure of AlZn12Ag7. Source: Alexandria via LeMat-Bulk, functional PBE.

Cell lengths 8.029, 8.029, 8.029 Å; angles 112.86, 112.86, 112.86 degrees
Fractional coordinates of all 20 atoms:
1 Al 0.000 0.000 0.000
2 Zn 0.120 0.363 0.765
3 Zn 0.144 0.472 0.483
4 Zn 0.235 0.880 0.637
5 Zn 0.363 0.765 0.120
6 Zn 0.472 0.483 0.144
7 Zn 0.483 0.144 0.472
8 Zn 0.517 0.856 0.528
9 Zn 0.528 0.517 0.856
10 Zn 0.637 0.235 0.880
11 Zn 0.765 0.120 0.363
12 Zn 0.856 0.528 0.517
13 Zn 0.880 0.637 0.235
14 Ag 0.079 0.396 0.096
15 Ag 0.096 0.079 0.396
16 Ag 0.396 0.096 0.079
17 Ag 0.500 0.500 0.500
18 Ag 0.604 0.904 0.921
19 Ag 0.904 0.921 0.604
20 Ag 0.921 0.604 0.904

Calculated volume: 339 Å³/cell
Calculated total energy: -1.8824 eV per atom
Total moment: 0.0 μB per cell

---

Entry 6:
An optimized crystal structure of Pr3HgTeBr. Source: Alexandria via LeMat-Bulk, functional PBE.

Cell lengths 8.455, 4.287, 11.069 Å; angles 90.00, 109.38, 90.00 degrees
Fractional coordinates of all 12 atoms:
1 Pr 0.026 0.250 0.272
2 Pr 0.230 0.250 0.035
3 Pr 0.385 0.750 0.592
4 Pr 0.615 0.250 0.408
5 Pr 0.770 0.750 0.965
6 Pr 0.974 0.750 0.728
7 Hg 0.111 0.250 0.576
8 Hg 0.889 0.750 0.424
9 Te 0.323 0.750 0.279
10 Te 0.677 0.250 0.721
11 Br 0.354 0.750 0.882
12 Br 0.646 0.250 0.118

Calculated volume: 379 Å³/cell
Calculated total energy: -4.1847 eV per atom
Formation energy (no corrections): -0.94 eV/atom
Total moment: 0.0 μB per cell

---

Entry 7:
An optimized crystal structure of Zn2CoRe. Source: Alexandria via LeMat-Bulk, functional PBE.

Cell lengths 2.990, 4.235, 4.263 Å; angles 90.00, 90.00, 90.00 degrees
Fractional coordinates of all 4 atoms:
1 Zn 0.000 0.000 0.000
2 Zn 0.500 0.500 0.000
3 Co 0.000 0.500 0.500
4 Re 0.500 0.000 0.500

Calculated volume: 54 Å³/cell
Calculated total energy: -5.2887 eV per atom
Total moment: 2.0 μB per cell

---

Entry 8:
An optimized crystal structure of KNd2ZnO5. Source: Alexandria via LeMat-Bulk, functional PBE.

Cell lengths 7.564, 7.564, 7.564 Å; angles 126.33, 126.33, 79.34 degrees
Fractional coordinates of all 18 atoms:
1 K 0.250 0.250 0.000
2 K 0.750 0.750 0.000
3 Nd 0.173 0.673 0.847
4 Nd 0.327 0.173 0.500
5 Nd 0.673 0.827 0.500
6 Nd 0.827 0.327 0.153
7 Zn 0.250 0.750 0.500
8 Zn 0.750 0.250 0.500
9 O 0.000 0.000 0.000
10 O 0.012 0.237 0.500
11 O 0.237 0.737 0.225
12 O 0.263 0.488 0.500
13 O 0.488 0.988 0.225
14 O 0.500 0.500 0.000
15 O 0.512 0.012 0.775
16 O 0.737 0.512 0.500
17 O 0.763 0.263 0.775
18 O 0.988 0.763 0.500

Calculated volume: 271 Å³/cell
Calculated total energy: -6.4112 eV per atom
Formation energy (no corrections): -2.33 eV/atom
Total moment: 1.9 μB per cell